5
Lattice="-0.622 -4.685 -1.706 4.337 -1.357 2.145 -2.461 -1.207 4.212" Properties=species:S:1:pos:R:3 comment="PBE-GGA Mg3TaCd, relaxed" de_polymorph_mev_per_atom=0.0 sg="Pm-3m, No. 221" dos_at_fermi_per_ev_cell=3.5 formation_enthalpy_0k_ev_per_atom=1.12 pbc="T T T"
Mg 2.168 -0.679 1.073
Mg -1.231 -0.603 2.106
Mg -0.311 -2.343 -0.853
Ta 0.627 -3.625 2.325
Cd 0.000 0.000 0.000